Record 1
The following is a PBE-GGA calculation of MgTiAsBr2 after structural relaxation, from Alexandria via LeMat-Bulk.

For the raw formation energy, the calculation gives 0.071 eV/atom. The value obtained for the density of states at the Fermi level is 0.842 states/eV per atom.

It has space group P4/mmm (No. 123), with a = 4.942 Å, b = 4.942 Å, c = 5.534 Å, α = 90.00°, β = 90.00° and γ = 90.00°. Symmetry generates all atoms from Mg at (0.000, 0.000, 0.000), Ti at (0.500, 0.500, 0.500), As at (0.000, 0.000, 0.500) and Br at (0.000, 0.500, 0.000).

***

Record 2
The following is a PBE-GGA calculation of ScTc2Rh after structural relaxation, from Alexandria via LeMat-Bulk.

The value obtained for the density of states at the Fermi level is 1.305 states/eV per atom. The total energy is -69.13 eV per cell.

It has space group Cmmm (No. 65), with a = 5.236 Å, b = 8.556 Å, c = 2.788 Å, α = 90.00°, β = 90.00° and γ = 90.00°. Symmetry generates all atoms from Sc at (0.000, 0.000, 0.000), Tc at (0.250, 0.250, 0.500) and Rh at (0.000, 0.500, 0.000).

***

Record 3
The following is a PBE-GGA calculation of PrSm4Er7 after structural relaxation, from Alexandria via LeMat-Bulk.

The value obtained for the density of states at the Fermi level is 1.654 states/eV per atom. The total energy is -104.86 eV per cell.

It has space group C2/m (No. 12), with a = 12.126 Å, b = 5.881 Å, c = 12.688 Å, α = 90.00°, β = 117.95° and γ = 90.00°. Symmetry generates all atoms from Pr at (0.000, 0.000, 0.000), Sm at (0.134, 0.500, 0.776), Sm at (0.236, 0.000, 0.675), Er at (0.000, 0.500, 0.000), Er at (0.064, 0.000, 0.323), Er at (0.133, 0.500, 0.499) and Er at (0.211, 0.000, 0.923).

***

Record 4
The following is a PBE-GGA calculation of LaFeTe2 after structural relaxation, from Alexandria via LeMat-Bulk.

For the raw formation energy, the calculation gives -0.070 eV/atom. The value obtained for the density of states at the Fermi level is 1.589 states/eV per atom.

It has space group R-3m (No. 166, hexagonal axes), with a = 3.6877 Å, b = 3.6877 Å, c = 28.2942 Å, α = 90.00°, β = 90.00° and γ = 120.00°. Symmetry generates all atoms from La at (0.0000, 0.0000, 0.0000), Fe at (0.0000, 0.0000, 0.5000) and Te at (0.0000, 0.0000, 0.1153).

***

Record 5
The following is a PBE-GGA calculation of FeOsC after structural relaxation, from Alexandria via LeMat-Bulk.

The value obtained for the density of states at the Fermi level is 0.783 states/eV per atom. The total energy is -55.77 eV per cell.

It has space group Pmn2_1 (No. 31), with a = 2.776 Å, b = 5.124 Å, c = 4.451 Å, α = 90.00°, β = 90.00° and γ = 90.00°. Symmetry generates all atoms from Fe at (0.000, 0.065, 0.000), Os at (0.000, 0.569, 0.813) and C at (0.000, 0.207, 0.568).

***

Record 6
The following is a PBE-GGA calculation of PuAlB after structural relaxation, from Alexandria via LeMat-Bulk.

The value obtained for the density of states at the Fermi level is 2.834 states/eV per atom. The total energy is -24.94 eV per cell.

It has space group P-6m2 (No. 187), with a = 3.7397 Å, b = 3.7397 Å, c = 4.1863 Å, α = 90.00°, β = 90.00° and γ = 120.00°. Symmetry generates all atoms from Pu at (0.0000, 0.0000, 0.0000), Al at (0.3333, 0.6667, 0.5000) and B at (0.6667, 0.3333, 0.5000).